# Sr2TlAs PBE-GGA relaxed
data_Sr2TlAs
_chemical_formula_sum 'Sr2 Tl1 As1'
_cell_length_a 4.0651
_cell_length_b 4.0651
_cell_length_c 8.5912
_cell_angle_alpha 90.00
_cell_angle_beta 90.00
_cell_angle_gamma 90.00
_symmetry_space_group_name_H-M 'P 1'
_symmetry_Int_Tables_number 1
loop_
_symmetry_equiv_pos_as_xyz
'x,y,z'
loop_
_atom_site_label
_atom_site_type_symbol
_atom_site_fract_x
_atom_site_fract_y
_atom_site_fract_z
_atom_site_occupancy
Sr1 Sr 0.0000 0.0000 0.9193 1
Sr2 Sr 0.5000 0.5000 0.3224 1
Tl1 Tl 0.0000 0.0000 0.5480 1
As1 As 0.5000 0.5000 0.7103 1
# * N(E_F): 2.29 states/eV per cell
# * E_form: -357 meV/atom
# * E_tot: -11.806 eV/cell
# * M_tot: 0.00 μB/atom